## Sr4MoP (PBE-GGA)

Data for Sr4MoP after structural relaxation.

The structure belongs to space group F-43m (No. 216); the cell edges are 9.564, 9.564 and 9.564 Å and the angles 90.00°, 90.00° and 90.00°. The asymmetric unit holds Sr at (0.125, 0.125, 0.125), Mo at (0.250, 0.250, 0.750) and P at (0.000, 0.000, 0.500).

The volume is 874.7 Å³/cell. The calculation puts the spin magnetization at 12.47 μB per cell. For the energy relative to the elements, the calculation gives 1.1182 eV/atom.